## HfMnHgSb2 (PBE-GGA)

Data for a relaxed HfMnHgSb2 crystal.

Cell: 5.0293 4.9778 5.0293 Å, 90.00 90.00 90.00°
Fractional positions:
Hg 0.0000 0.5000 0.0000
Sb 0.5000 0.0000 0.0000
Sb 0.0000 0.0000 0.5000
Mn 0.0000 0.0000 0.0000
Hf 0.5000 0.5000 0.5000

Summary:
- ΔE_f (raw): 3.01 eV per formula unit

---

## CaHgPb (PBE-GGA)

Data for a relaxed CaHgPb crystal.

Cell: 4.8171 7.3071 10.4338 Å, 90.00 90.00 90.00°
Fractional positions:
Ca 0.2500 0.2099 0.8881
Ca 0.2500 0.2901 0.3881
Ca 0.7500 0.7099 0.6119
Ca 0.7500 0.7901 0.1119
Pb 0.7500 0.2499 0.1246
Pb 0.2500 0.7499 0.3754
Pb 0.7500 0.2501 0.6246
Pb 0.2500 0.7501 0.8754
Hg 0.7500 0.4942 0.8706
Hg 0.7500 0.0058 0.3706
Hg 0.2500 0.5058 0.1294
Hg 0.2500 0.9942 0.6294

Summary:
- Energy relative to the elements: -0.349 eV/atom

---

## ScCo2B (PBE-GGA)

Data for a relaxed ScCo2B crystal.

Cell: 2.9691 4.6338 4.3034 Å, 122.57 90.01 90.00°
Fractional positions:
Sc 0.5000 0.5000 0.0000
Co 0.0001 0.1708 0.3417
Co 0.9999 0.8292 0.6583
B 0.5000 0.0000 0.0000

Summary:
- Energy relative to the elements: -0.154 eV/atom

---

## Ta2MoAs (PBE-GGA)

Data for a relaxed Ta2MoAs crystal.

Cell: 4.6248 2.9339 5.2261 Å, 76.41 90.00 90.00°
Fractional positions:
Ta 0.0000 0.9427 0.9789
Ta 0.5000 0.1848 0.2542
As 0.0000 0.7037 0.5032
Mo 0.5000 0.6688 0.7637

Summary:
- Energy relative to the elements: -0.010 eV/atom